# PBE-GGA La2Nd6Sm3Er, relaxed
# **Magnetization**: 0.000 μB/atom
# **N(E_F)**: 38.2 states/eV/cell
# **E_form**: 19 kJ/mol of formula units
data_La2Nd6Sm3Er
_chemical_formula_sum 'La4 Nd12 Sm6 Er2'
_symmetry_space_group_name_H-M 'C 1 2/m 1'
_symmetry_Int_Tables_number 12
_cell_length_a 6.3527
_cell_length_b 11.0017
_cell_length_c 12.1634
_cell_angle_alpha 90.00
_cell_angle_beta 100.12
_cell_angle_gamma 90.00
loop_
_symmetry_equiv_pos_as_xyz
'x,y,z'
'-x,-y,-z'
'-x,y,-z'
'x,-y,z'
'x+1/2,y+1/2,z'
'-x+1/2,-y+1/2,-z'
'-x+1/2,y+1/2,-z'
'x+1/2,-y+1/2,z'
loop_
_atom_site_label
_atom_site_fract_x
_atom_site_fract_y
_atom_site_fract_z
La1 0.0000 0.1668 0.0000
Nd1 0.2482 0.5000 0.7480
Nd2 0.2494 0.3343 0.2516
Sm1 0.0000 0.0000 0.5000
Sm2 0.0000 0.3337 0.5000
Er1 0.0000 0.5000 0.0000